[1]
Computed, not measured: an optimized crystal structure of CeCd2Hg3 at the PBE-GGA level of DFT.

Cell and atoms, written as POSCAR:
```
CeCd2Hg3
1.0
4.8579 0.0000 0.0000
0.0000 13.1731 0.0000
0.0000 0.0000 4.7188
Ce Cd Hg
2 4 6
Direct
0.2500 0.2500 0.0009
0.7500 0.7500 0.9991
0.2500 0.5729 0.9999
0.2500 0.9271 0.9999
0.7500 0.0729 0.0001
0.7500 0.4271 0.0001
0.2500 0.0834 0.5007
0.2500 0.4166 0.5007
0.2500 0.7500 0.4989
0.7500 0.2500 0.5011
0.7500 0.5834 0.4993
0.7500 0.9166 0.4993
```

Output
calculated formation energy: -164 meV/atom
energy above the lowest structure with this stoichiometry: 26 meV per atom

---

[2]
Computed, not measured: an optimized crystal structure of CeCd4Hg at the PBE-GGA level of DFT.

Cell and atoms, written as POSCAR:
```
CeCd4Hg
1.0
5.0474 0.0000 0.0000
-2.5237 4.3712 0.0000
0.0000 0.0000 6.6876
Ce Cd Hg
1 4 1
Direct
0.0000 0.0000 0.0000
0.3333 0.6667 0.2507
0.3333 0.6667 0.7493
0.6667 0.3333 0.2507
0.6667 0.3333 0.7493
0.0000 0.0000 0.5000
```

Output
calculated formation energy: -157 meV/atom
energy above the lowest structure with this stoichiometry: 0 meV per atom

---

[3]
Computed, not measured: an optimized crystal structure of CeCd5Hg7 at the PBE-GGA level of DFT.

Cell and atoms, written as POSCAR:
```
CeCd5Hg7
1.0
-3.1327 5.1057 4.9661
3.1327 -5.1057 4.9661
3.1327 5.1057 -4.9661
Ce Cd Hg
1 5 7
Direct
0.0000 0.0000 0.0000
0.0012 0.0034 0.4989
0.0012 0.5024 0.9978
0.2434 0.7434 0.5000
0.5046 0.0034 0.0022
0.5046 0.5024 0.5011
0.1899 0.5058 0.6841
0.3355 0.0008 0.3347
0.3409 0.3409 0.0000
0.6427 0.6427 0.0000
0.6661 0.0008 0.6653
0.7660 0.2660 0.5000
0.8218 0.5058 0.3159
```

Output
calculated formation energy: -53 meV/atom

---

[4]
Computed, not measured: an optimized crystal structure of CeCd23Hg6 at the PBE-GGA level of DFT.

Cell and atoms, written as POSCAR:
```
CeCd23Hg6
1.0
0.0000 7.1179 7.1179
7.1179 0.0000 7.1179
7.1179 7.1179 0.0000
Ce Cd Hg
1 23 6
Direct
0.0000 0.0000 0.0000
0.0000 0.0000 0.5000
0.0000 0.5000 0.0000
0.0000 0.5000 0.5000
0.1282 0.6239 0.6239
0.1501 0.1501 0.1501
0.1501 0.1501 0.5497
0.1501 0.5497 0.1501
0.3761 0.3761 0.3761
0.3761 0.3761 0.8718
0.3761 0.8718 0.3761
0.4503 0.8499 0.8499
0.5000 0.0000 0.0000
0.5000 0.0000 0.5000
0.5000 0.5000 0.0000
0.5000 0.5000 0.5000
0.5497 0.1501 0.1501
0.6239 0.1282 0.6239
0.6239 0.6239 0.1282
0.6239 0.6239 0.6239
0.8499 0.4503 0.8499
0.8499 0.8499 0.4503
0.8499 0.8499 0.8499
0.8718 0.3761 0.3761
0.2290 0.2290 0.7710
0.2290 0.7710 0.2290
0.2290 0.7710 0.7710
0.7710 0.2290 0.2290
0.7710 0.2290 0.7710
0.7710 0.7710 0.2290
```

Output
calculated formation energy: 18 meV/atom

---

[5]
Computed, not measured: an optimized crystal structure of CeCdHg2 at the PBE-GGA level of DFT.

Cell and atoms, written as POSCAR:
```
CeCdHg2
1.0
2.5963 1.4990 4.2498
-2.5963 1.4990 4.2498
0.0000 -2.9980 4.2498
Ce Cd Hg
1 1 2
Direct
0.0000 0.0000 0.0000
0.2496 0.2496 0.2496
0.4999 0.4999 0.4999
0.7503 0.7503 0.7503
```

Output
calculated formation energy: -250 meV/atom
energy above the lowest structure with this stoichiometry: 94 meV per atom

---

[6]
Computed, not measured: an optimized crystal structure of CeCd3Hg4 at the PBE-GGA level of DFT.

Cell and atoms, written as POSCAR:
```
CeCd3Hg4
1.0
9.8559 0.0000 0.0000
0.0000 8.0316 0.0000
0.0000 0.0000 4.9253
Ce Cd Hg
2 6 8
Direct
0.0000 0.0000 0.0000
0.5000 0.0000 0.0000
0.0000 0.5000 0.0000
0.2500 0.0000 0.4989
0.2500 0.5000 0.4975
0.5000 0.5000 0.0000
0.7500 0.0000 0.5011
0.7500 0.5000 0.5025
0.0000 0.2607 0.5000
0.0000 0.7393 0.5000
0.2500 0.2607 0.9980
0.2500 0.7393 0.9980
0.5000 0.2607 0.5000
0.5000 0.7393 0.5000
0.7500 0.2607 0.0020
0.7500 0.7393 0.0020
```

Output
calculated formation energy: -163 meV/atom

---

[7]
Computed, not measured: an optimized crystal structure of CeCd3Hg3 at the PBE-GGA level of DFT.

Cell and atoms, written as POSCAR:
```
CeCd3Hg3
1.0
6.0120 0.0000 0.0000
0.0000 6.0120 0.0000
0.0000 0.0000 6.0120
Ce Cd Hg
1 3 3
Direct
0.0000 0.0000 0.0000
0.0000 0.5000 0.5000
0.5000 0.0000 0.5000
0.5000 0.5000 0.0000
0.0000 0.0000 0.5000
0.0000 0.5000 0.0000
0.5000 0.0000 0.0000
```

Output
calculated formation energy: 154 meV/atom
energy above the lowest structure with this stoichiometry: 281 meV per atom

---

[8]
Computed, not measured: an optimized crystal structure of Ce2CdHg at the PBE-GGA level of DFT.

Cell and atoms, written as POSCAR:
```
Ce2CdHg
1.0
0.0000 3.8285 3.8285
3.8285 0.0000 3.8285
3.8285 3.8285 0.0000
Ce Cd Hg
2 1 1
Direct
0.2500 0.2500 0.2500
0.7500 0.7500 0.7500
0.0000 0.0000 0.0000
0.5000 0.5000 0.5000
```

Output
calculated formation energy: -196 meV/atom
energy above the lowest structure with this stoichiometry: 35 meV per atom

---

[9]
Computed, not measured: an optimized crystal structure of Ce2Cd6Hg3 at the PBE-GGA level of DFT.

Cell and atoms, written as POSCAR:
```
Ce2Cd6Hg3
1.0
8.6146 0.0000 0.0000
-4.3073 7.4605 0.0000
0.0000 0.0000 4.4080
Ce Cd Hg
2 6 3
Direct
0.3333 0.6667 0.0000
0.6667 0.3333 0.0000
0.0000 0.1959 0.0000
0.0000 0.7252 0.5000
0.1959 0.0000 0.0000
0.2748 0.2748 0.5000
0.7252 0.0000 0.5000
0.8041 0.8041 0.0000
0.0000 0.4044 0.5000
0.4044 0.0000 0.5000
0.5956 0.5956 0.5000
```

Output
calculated formation energy: -128 meV/atom

---

[10]
Computed, not measured: an optimized crystal structure of Ce3Cd2Hg5 at the PBE-GGA level of DFT.

Cell and atoms, written as POSCAR:
```
Ce3Cd2Hg5
1.0
-6.1621 7.0414 3.2122
6.1621 -7.0414 3.2122
6.1621 7.0414 -3.2122
Ce Cd Hg
6 4 10
Direct
0.2120 0.6163 0.8283
0.2500 0.2500 0.0000
0.2880 0.1163 0.4043
0.7120 0.8837 0.5957
0.7500 0.7500 0.0000
0.7880 0.3837 0.1717
0.1602 0.8835 0.0437
0.3398 0.3835 0.7234
0.6602 0.6165 0.2766
0.8398 0.1165 0.9563
0.1452 0.3545 0.4997
0.2500 0.0008 0.7508
0.2500 0.4992 0.2492
0.2500 0.7500 0.5000
0.3548 0.8545 0.2094
0.6452 0.1455 0.7906
0.7500 0.2500 0.5000
0.7500 0.5008 0.7508
0.7500 0.9992 0.2492
0.8548 0.6455 0.5003
```

Output
calculated formation energy: -53 meV/atom

---

[11]
Computed, not measured: an optimized crystal structure of CeCd2Hg at the PBE-GGA level of DFT.

Cell and atoms, written as POSCAR:
```
CeCd2Hg
1.0
1.5621 0.9019 11.8563
-1.5621 0.9019 11.8563
0.0000 -1.8037 11.8563
Ce Cd Hg
1 2 1
Direct
0.0000 0.0000 0.0000
0.0915 0.0915 0.0915
0.9085 0.9085 0.9085
0.5000 0.5000 0.5000
```

Output
calculated formation energy: 156 meV/atom
energy above the lowest structure with this stoichiometry: 433 meV per atom

---

[12]
Computed, not measured: an optimized crystal structure of CeCd3Hg3 at the PBE-GGA level of DFT.

Cell and atoms, written as POSCAR:
```
CeCd3Hg3
1.0
8.7068 0.0000 0.0000
-4.3534 7.5403 0.0000
0.0000 0.0000 5.2645
Ce Cd Hg
2 6 6
Direct
0.3333 0.6667 0.2500
0.6667 0.3333 0.7500
0.0277 0.8034 0.2500
0.1966 0.2242 0.2500
0.2242 0.0277 0.7500
0.7758 0.9723 0.2500
0.8034 0.7758 0.7500
0.9723 0.1966 0.7500
0.0918 0.6198 0.7500
0.3802 0.4719 0.7500
0.4719 0.0918 0.2500
0.5281 0.9082 0.7500
0.6198 0.5281 0.2500
0.9082 0.3802 0.2500
```

Output
calculated formation energy: -127 meV/atom
energy above the lowest structure with this stoichiometry: 0 meV per atom